A plane-wave DFT calculation with PBE-GGA was carried out for a relaxed YHo3Mg2 crystal.

Properties
**E_tot**: -3.934 eV per atom
**SG**: P4/mmm (123)

Unit cell a=3.647 b=3.647 c=12.937 alpha=90.00 beta=90.00 gamma=90.00
Positions (direct):
Mg1 0.500 0.500 0.153
Mg2 0.500 0.500 0.847
Ho1 0.000 0.000 0.311
Ho2 0.000 0.000 0.689
Ho3 0.000 0.000 0.000
Y1 0.500 0.500 0.500

=====

A plane-wave DFT calculation with PBE-GGA was carried out for a relaxed Y4Ho7Mg crystal.

Properties
**E_tot**: -4.858 eV per atom
**SG**: P-3m1 (164)

Unit cell a=5.574 b=5.574 c=13.884 alpha=90.00 beta=90.00 gamma=120.00
Positions (direct):
Y1 0.333 0.667 0.681
Y2 0.667 0.333 0.073
Y3 0.667 0.333 0.319
Y4 0.333 0.667 0.927
Ho1 0.333 0.667 0.175
Ho2 0.000 0.000 0.000
Ho3 0.667 0.333 0.576
Ho4 0.000 0.000 0.265
Ho5 0.667 0.333 0.825
Ho6 0.000 0.000 0.735
Ho7 0.333 0.667 0.424
Mg1 0.000 0.000 0.500

=====

A plane-wave DFT calculation with PBE-GGA was carried out for a relaxed YHo2Mg crystal.

Properties
**E_tot**: -4.233 eV per atom
**SG**: Fm-3m (225)

Unit cell a=5.494 b=5.494 c=5.494 alpha=60.00 beta=60.00 gamma=60.00
Positions (direct):
Y1 0.500 0.500 0.500
Mg1 0.000 0.000 0.000
Ho1 0.250 0.250 0.250
Ho2 0.750 0.750 0.750

=====

A plane-wave DFT calculation with PBE-GGA was carried out for a relaxed Y2Ho12Mg crystal.

Properties
**E_tot**: -4.526 eV per atom
**SG**: C2/m (12)

Unit cell a=6.613 b=6.613 c=24.141 alpha=85.20 beta=94.80 gamma=63.74
Positions (direct):
Ho1 0.890 0.155 0.934
Ho2 0.145 0.834 0.556
Ho3 0.355 0.666 0.444
Ho4 0.610 0.345 0.066
Ho5 0.877 0.060 0.195
Ho6 0.623 0.440 0.805
Ho7 0.248 0.252 0.850
Ho8 0.525 0.463 0.327
Ho9 0.440 0.623 0.195
Ho10 0.975 0.037 0.673
Ho11 0.834 0.145 0.444
Ho12 0.060 0.877 0.805
Ho13 0.345 0.610 0.934
Ho14 0.731 0.769 0.108
Ho15 0.463 0.525 0.673
Ho16 0.252 0.248 0.150
Ho17 0.155 0.890 0.066
Ho18 0.037 0.975 0.327
Ho19 0.769 0.731 0.892
Ho20 0.324 0.176 0.420
Ho21 0.651 0.849 0.570
Ho22 0.666 0.355 0.556
Ho23 0.176 0.324 0.580
Ho24 0.849 0.651 0.430
Y1 0.514 0.986 0.288
Y2 0.986 0.514 0.712
Y3 0.991 0.509 0.266
Y4 0.509 0.991 0.734
Mg1 0.456 0.044 0.983
Mg2 0.044 0.456 0.017

=====

A plane-wave DFT calculation with PBE-GGA was carried out for a relaxed Y2HoMg crystal.

Properties
**E_tot**: -4.576 eV per atom
**SG**: R-3m (166)

Unit cell a=3.452 b=3.452 c=12.395 alpha=82.00 beta=82.00 gamma=60.00
Positions (direct):
Ho1 0.500 0.500 0.500
Y1 0.089 0.089 0.732
Y2 0.911 0.911 0.268
Mg1 0.000 0.000 0.000

=====

A plane-wave DFT calculation with PBE-GGA was carried out for a relaxed Y8Ho6Mg crystal.

Properties
**E_tot**: -5.241 eV per atom
**SG**: P-3 (147)

Unit cell a=6.132 b=9.495 c=9.495 alpha=120.00 beta=90.00 gamma=90.00
Positions (direct):
Ho1 0.694 0.634 0.092
Ho2 0.306 0.092 0.458
Ho3 0.694 0.458 0.366
Ho4 0.306 0.366 0.908
Ho5 0.306 0.542 0.634
Ho6 0.694 0.908 0.542
Mg1 0.500 0.000 0.000
Y1 0.195 0.268 0.229
Y2 0.805 0.732 0.771
Y3 0.195 0.667 0.333
Y4 0.195 0.771 0.039
Y5 0.805 0.039 0.268
Y6 0.195 0.961 0.732
Y7 0.805 0.333 0.667
Y8 0.805 0.229 0.961

=====

A plane-wave DFT calculation with PBE-GGA was carried out for a relaxed Y6HoMg2 crystal.

Properties
**E_tot**: -5.199 eV per atom
**SG**: C2/m (12)

Unit cell a=3.751 b=6.631 c=11.849 alpha=75.12 beta=80.89 gamma=73.57
Positions (direct):
Y1 0.681 0.515 0.123
Y2 0.983 0.695 0.340
Y3 0.314 0.788 0.584
Y4 0.017 0.305 0.660
Y5 0.319 0.485 0.877
Y6 0.686 0.212 0.416
Mg1 0.351 0.090 0.208
Mg2 0.649 0.910 0.792
Ho1 0.000 0.000 0.000

=====

A plane-wave DFT calculation with PBE-GGA was carried out for a relaxed YHo3Mg crystal.

Properties
**E_tot**: -4.352 eV per atom
**SG**: C2/m (12)

Unit cell a=5.176 b=6.211 c=12.526 alpha=54.68 beta=78.08 gamma=65.37
Positions (direct):
Ho1 0.966 0.405 0.663
Ho2 0.271 0.685 0.774
Ho3 0.034 0.595 0.337
Ho4 0.417 0.038 0.128
Ho5 0.583 0.962 0.872
Ho6 0.729 0.315 0.226
Mg1 0.871 0.309 0.950
Mg2 0.129 0.691 0.050
Y1 0.654 0.138 0.554
Y2 0.346 0.862 0.446

=====

It is found that the E_form values, taken in the order of the records, are -0.0362, 0.1003, 0.0701, 0.1047, 0.1988, 0.1439, -0.0271, 0.0066 eV per atom.